No. 1
A geometry-optimized K2TeF structure, computed with PBE.

a b c (Å): 7.128 7.128 7.128
angles (deg): 113.30 113.30 102.05
Sites, in units of the cell vectors:
K1 0.019 0.625 0.894
K2 0.375 0.269 0.394
K3 0.731 0.125 0.106
K4 0.875 0.981 0.606
Te1 0.250 0.750 0.500
Te2 0.500 0.500 0.000
F1 0.000 0.000 0.000
F2 0.750 0.250 0.500

Computed properties:
symmetry = I-42d
energy relative to the lowest polymorph listed for this composition = 1.82 kcal/mol of atoms

No. 2
A geometry-optimized CaTi3Ir structure, computed with PBE.

a b c (Å): 4.432 4.432 4.432
angles (deg): 90.00 90.00 90.00
Sites, in units of the cell vectors:
Ca1 0.000 0.000 0.000
Ti1 0.000 0.000 0.500
Ti2 0.000 0.500 0.000
Ti3 0.500 0.000 0.000
Ir1 0.500 0.500 0.500

Computed properties:
symmetry = Pm-3m
energy relative to the lowest polymorph listed for this composition = 35.49 kcal/mol of atoms
formation energy = 38.808 kcal/mol of atoms

No. 3
A geometry-optimized Tb4HS5 structure, computed with PBE.

a b c (Å): 9.341 9.341 7.263
angles (deg): 112.81 112.81 24.07
Sites, in units of the cell vectors:
Tb1 0.000 0.000 0.247
Tb2 0.000 0.000 0.753
Tb3 0.280 0.280 0.280
Tb4 0.720 0.720 0.720
H1 0.500 0.500 0.500
S1 0.162 0.162 0.428
S2 0.162 0.162 0.897
S3 0.500 0.500 0.000
S4 0.838 0.838 0.103
S5 0.838 0.838 0.572

Computed properties:
symmetry = C2/m
calculated total energy = -5.9489 eV/atom

No. 4
A geometry-optimized LiGd2Ir structure, computed with PBE.

a b c (Å): 4.963 4.963 4.963
angles (deg): 60.00 60.00 60.00
Sites, in units of the cell vectors:
Li1 0.000 0.000 0.000
Gd1 0.250 0.250 0.250
Gd2 0.750 0.750 0.750
Ir1 0.500 0.500 0.500

Computed properties:
symmetry = Fm-3m
energy relative to the lowest polymorph listed for this composition = 0.00 kcal/mol of atoms
formation energy = -11.816 kcal/mol of atoms

No. 5
A geometry-optimized AcLa3Sm4Te8 structure, computed with PBE.

a b c (Å): 9.059 9.059 9.059
angles (deg): 60.13 60.13 60.13
Sites, in units of the cell vectors:
Ac1 0.000 0.000 0.000
La1 0.000 0.500 0.500
La2 0.500 0.000 0.500
La3 0.500 0.500 0.000
Sm1 0.000 0.000 0.500
Sm2 0.000 0.500 0.000
Sm3 0.500 0.000 0.000
Sm4 0.500 0.500 0.500
Te1 0.247 0.247 0.247
Te2 0.250 0.744 0.744
Te3 0.256 0.256 0.750
Te4 0.256 0.750 0.256
Te5 0.744 0.250 0.744
Te6 0.744 0.744 0.250
Te7 0.750 0.256 0.256
Te8 0.753 0.753 0.753

Computed properties:
symmetry = R-3m
calculated total energy = -5.4041 eV/atom

No. 6
A geometry-optimized Th2NbIn structure, computed with PBE.

a b c (Å): 11.769 11.769 11.769
angles (deg): 16.12 16.12 16.12
Sites, in units of the cell vectors:
Th1 0.084 0.084 0.084
Th2 0.916 0.916 0.916
Nb1 0.000 0.000 0.000
In1 0.500 0.500 0.500

Computed properties:
symmetry = R-3m
energy relative to the lowest polymorph listed for this composition = 8.31 kcal/mol of atoms
formation energy = 9.454 kcal/mol of atoms

No. 7
A geometry-optimized MgGa2OsN structure, computed with PBE.

a b c (Å): 4.224 4.224 3.892
angles (deg): 90.00 90.00 90.00
Sites, in units of the cell vectors:
Mg1 0.000 0.000 0.000
Ga1 0.000 0.500 0.500
Ga2 0.500 0.000 0.500
Os1 0.500 0.500 0.000
N1 0.000 0.000 0.500

Computed properties:
symmetry = P4/mmm
energy relative to the lowest polymorph listed for this composition = 0.00 kcal/mol of atoms

No. 8
A geometry-optimized LiB2C2 structure, computed with PBE.

a b c (Å): 4.727 5.363 7.830
angles (deg): 80.23 72.55 90.00
Sites, in units of the cell vectors:
Li1 0.000 0.000 0.000
Li2 0.001 0.512 0.000
Li3 0.504 0.258 0.999
Li4 0.749 0.378 0.501
B1 0.046 0.195 0.243
B2 0.047 0.696 0.246
B3 0.459 0.063 0.760
B4 0.460 0.569 0.758
B5 0.543 0.447 0.244
B6 0.543 0.944 0.247
B7 0.962 0.818 0.750
B8 0.964 0.318 0.754
C1 0.216 0.445 0.242
C2 0.220 0.947 0.240
C3 0.284 0.816 0.760
C4 0.289 0.315 0.763
C5 0.719 0.198 0.238
C6 0.719 0.695 0.245
C7 0.789 0.068 0.757
C8 0.789 0.566 0.756

Computed properties:
symmetry = P1
energy relative to the lowest polymorph listed for this composition = 0.88 kcal/mol of atoms
formation energy = -0.728 kcal/mol of atoms

No. 9
A geometry-optimized TaMn3Os structure, computed with PBE.

a b c (Å): 4.376 4.376 4.376
angles (deg): 90.00 90.00 90.00
Sites, in units of the cell vectors:
Ta1 0.000 0.000 0.000
Mn1 0.000 0.500 0.500
Mn2 0.500 0.000 0.500
Mn3 0.500 0.500 0.000
Os1 0.500 0.500 0.500

Computed properties:
symmetry = Pm-3m
energy relative to the lowest polymorph listed for this composition = 0.00 kcal/mol of atoms
formation energy = 35.565 kcal/mol of atoms

No. 10
A geometry-optimized Na2CdCO4 structure, computed with PBE.

a b c (Å): 11.814 11.033 5.649
angles (deg): 83.52 68.11 28.37
Sites, in units of the cell vectors:
Na1 0.078 0.078 0.672
Na2 0.328 0.328 0.922
Na3 0.672 0.672 0.078
Na4 0.922 0.922 0.328
Cd1 0.125 0.125 0.125
Cd2 0.875 0.875 0.875
C1 0.375 0.375 0.375
C2 0.625 0.625 0.625
O1 0.097 0.579 0.480
O2 0.343 0.480 0.579
O3 0.421 0.903 0.657
O4 0.480 0.343 0.097
O5 0.520 0.657 0.903
O6 0.579 0.097 0.343
O7 0.657 0.520 0.421
O8 0.903 0.421 0.520

Computed properties:
symmetry = Fddd
calculated total energy = -5.1189 eV/atom

No. 11
A geometry-optimized CrTe structure, computed with PBE.

a b c (Å): 7.140 7.140 6.630
angles (deg): 114.80 114.80 31.93
Sites, in units of the cell vectors:
Cr1 0.000 0.000 0.000
Cr2 0.003 0.003 0.537
Cr3 0.747 0.747 0.737
Te1 0.189 0.189 0.946
Te2 0.383 0.383 0.668
Te3 0.569 0.569 0.326

Computed properties:
symmetry = Cm
calculated total energy = -6.3068 eV/atom

No. 12
A geometry-optimized Rb3Dy3InTe8 structure, computed with PBE.

a b c (Å): 8.817 8.817 10.218
angles (deg): 115.65 115.65 59.88
Sites, in units of the cell vectors:
Rb1 0.000 0.000 0.000
Rb2 0.000 0.500 0.000
Rb3 0.500 0.000 0.000
Dy1 0.000 0.500 0.500
Dy2 0.500 0.000 0.500
Dy3 0.500 0.500 0.500
In1 0.000 0.000 0.500
Te1 0.231 0.231 0.696
Te2 0.232 0.733 0.697
Te3 0.267 0.267 0.300
Te4 0.267 0.768 0.303
Te5 0.733 0.232 0.697
Te6 0.733 0.733 0.700
Te7 0.768 0.267 0.303
Te8 0.769 0.769 0.304

Computed properties:
symmetry = C2/m
calculated total energy = -4.0674 eV/atom

No. 13
A geometry-optimized ReAg2Cl structure, computed with PBE.

a b c (Å): 3.941 3.941 4.670
angles (deg): 90.00 90.00 90.00
Sites, in units of the cell vectors:
Re1 0.000 0.000 0.000
Ag1 0.000 0.500 0.500
Ag2 0.500 0.000 0.500
Cl1 0.500 0.500 0.000

Computed properties:
symmetry = P4/mmm
energy relative to the lowest polymorph listed for this composition = 17.91 kcal/mol of atoms

No. 14
A geometry-optimized BePPb2 structure, computed with PBE.

a b c (Å): 3.684 3.736 6.580
angles (deg): 90.00 96.04 90.00
Sites, in units of the cell vectors:
Be1 0.000 0.000 0.000
P1 0.000 0.000 0.500
Pb1 0.437 0.500 0.248
Pb2 0.563 0.500 0.752

Computed properties:
symmetry = P2/m
energy relative to the lowest polymorph listed for this composition = 14.56 kcal/mol of atoms
formation energy = 14.291 kcal/mol of atoms

No. 15
A geometry-optimized Sm4TmCd structure, computed with PBE.

a b c (Å): 3.625 3.625 14.218
angles (deg): 90.00 90.00 90.00
Sites, in units of the cell vectors:
Sm1 0.000 0.000 0.148
Sm2 0.000 0.000 0.852
Sm3 0.500 0.500 0.326
Sm4 0.500 0.500 0.674
Tm1 0.000 0.000 0.500
Cd1 0.500 0.500 0.000

Computed properties:
symmetry = P4/mmm
energy relative to the lowest polymorph listed for this composition = 0.00 kcal/mol of atoms
formation energy = -2.111 kcal/mol of atoms